Compound: Ac2PuSn3Pd4
Source: Alexandria
Functional: GGA-PBE
Structure: relaxed

DFT formation energy, eV/atom: -0.750

POSCAR file:
```
Ac2PuSn3Pd4
1.0
4.729 0.000 0.000
0.000 4.729 0.000
0.000 0.000 11.072
Ac Pu Sn Pd
2 1 3 4
direct
0.500 0.000 0.232
0.000 0.500 0.768
0.500 0.500 0.500
0.000 0.000 0.500
0.500 0.000 0.880
0.000 0.500 0.120
0.500 0.500 0.000
0.000 0.000 0.000
0.500 0.000 0.642
0.000 0.500 0.358
```